(1)
The following is a PBE calculation of Cs2K2IrO6 after structural relaxation, from Alexandria.

Lattice parameters (Å, degrees): 6.3390 6.3390 6.8792 99.29 99.29 116.33
Closest atoms and distances in Å follow each position.
Fractional coordinates of all 11 atoms:
Cs (0.1754, 0.8246, 0.0000)  4 O 2.89-2.92
Cs (0.8246, 0.1754, 0.0000)  4 O 2.89-2.92
K (0.3428, 0.6572, 0.5000)  6 O 2.70-2.78
K (0.6572, 0.3428, 0.5000)  6 O 2.70-2.78
Ir (0.0000, 0.0000, 0.5000)  6 O 1.91-1.92
O (0.0468, 0.2973, 0.6654)  1 Ir 1.91
O (0.1763, 0.1763, 0.3256)  1 Ir 1.92
O (0.2973, 0.0468, 0.6654)  1 Ir 1.91
O (0.7027, 0.9532, 0.3346)  1 Ir 1.91
O (0.8237, 0.8237, 0.6744)  1 Ir 1.92
O (0.9532, 0.7027, 0.3346)  1 Ir 1.91

**Space group**: C2/m, No. 12
**Total energy**: -4.97 eV/atom

=====

(2)
The following is a PBE calculation of TbMg5Pt2 after structural relaxation, from Alexandria.

Lattice parameters (Å, degrees): 6.7733 6.7733 6.7733 144.49 104.31 86.49
Closest atoms and distances in Å follow each position.
Fractional coordinates of all 8 atoms:
Tb (0.0000, 0.0000, 0.0000)  4 Pt 3.02
Mg (0.1546, 0.3376, 0.8170)  3 Pt 2.70-2.80, 4 Mg 2.91-3.02
Mg (0.4794, 0.6624, 0.8170)  3 Pt 2.70-2.80, 4 Mg 2.91-3.02
Mg (0.5000, 0.0000, 0.5000)  2 Pt 2.72, 8 Mg 3.02
Mg (0.5206, 0.3376, 0.1830)  3 Pt 2.70-2.80, 4 Mg 2.91-3.02
Mg (0.8454, 0.6624, 0.1830)  3 Pt 2.70-2.80, 4 Mg 2.91-3.02
Pt (0.2239, 0.7239, 0.5000)  7 Mg 2.70-2.80, 2 Tb 3.02
Pt (0.7761, 0.2761, 0.5000)  7 Mg 2.70-2.80, 2 Tb 3.02

**Space group**: Immm, No. 71
**Energy of formation**: -0.622 eV per atom
**Total energy**: -3.71 eV/atom

=====

(3)
The following is a PBE calculation of AcEuRuRh after structural relaxation, from Alexandria.

Lattice parameters (Å, degrees): 5.0760 5.0760 5.0760 60.00 60.00 60.00
Closest atoms and distances in Å follow each position.
Fractional coordinates of all 4 atoms:
Ac (0.0000, 0.0000, 0.0000)  4 Ru 3.11, 4 Rh 3.11
Eu (0.5000, 0.5000, 0.5000)  4 Ru 3.11, 4 Rh 3.11
Ru (0.2500, 0.2500, 0.2500)  4 Ac 3.11, 4 Eu 3.11
Rh (0.7500, 0.7500, 0.7500)  4 Ac 3.11, 4 Eu 3.11

**Space group**: F-43m, No. 216
**Energy of formation**: -0.112 eV per atom
**Total energy**: -7.86 eV/atom